A plane-wave DFT calculation with PBE was carried out for TaSnC3 after structural relaxation.

Cell lengths 4.250, 4.250, 4.250 Å; angles 90.00, 90.00, 90.00 degrees
Positions (direct):
1 C 0.000 0.500 0.000
2 C 0.000 0.000 0.500
3 C 0.500 0.000 0.000
4 Sn 0.500 0.500 0.500
5 Ta 0.000 0.000 0.000

Properties
Fermi-level density of states (states/eV/cell): 3.7
E_form (eV per atom): 1.65
Magnetic moment (μB per atom): 0.00
Offset from the most stable computed form (eV/atom): 0.000